Entry 1:
The following is a PBE calculation of NbPIrS2 after structural relaxation, from Alexandria.

Structure (CIF):
```
data_NbPIrS2
_chemical_formula_sum 'Nb1 P1 Ir1 S2'
_cell_length_a 4.6138
_cell_length_b 4.6138
_cell_length_c 4.5052
_cell_angle_alpha 90.00
_cell_angle_beta 90.00
_cell_angle_gamma 90.00
_symmetry_space_group_name_H-M 'P 4/m m m'
_symmetry_Int_Tables_number 123
_symmetry_space_group_name_Hall '-P 4 2'
loop_
_atom_site_label
_atom_site_type_symbol
_atom_site_fract_x
_atom_site_fract_y
_atom_site_fract_z
Nb1 Nb 0.0000 0.0000 0.0000
P1 P 0.5000 0.5000 0.0000
Ir1 Ir 0.5000 0.5000 0.5000
S1 S 0.0000 0.5000 0.5000
```

Summary:
DOS(E_F)   4.8 states/eV/cell
Formation energy without anion corrections   0.74 eV per atom
Total moment   0.000 μB/atom
E above lowest polymorph   0.000 eV/atom

---

Entry 2:
The following is a PBE calculation of NbPIrS2 after structural relaxation, from Alexandria.

Structure (CIF):
```
data_NbPIrS2
_chemical_formula_sum 'Nb1 P1 Ir1 S2'
_cell_length_a 4.6670
_cell_length_b 4.6670
_cell_length_c 4.9372
_cell_angle_alpha 90.00
_cell_angle_beta 90.00
_cell_angle_gamma 90.00
_symmetry_space_group_name_H-M 'P 4/m m m'
_symmetry_Int_Tables_number 123
_symmetry_space_group_name_Hall '-P 4 2'
loop_
_atom_site_label
_atom_site_type_symbol
_atom_site_fract_x
_atom_site_fract_y
_atom_site_fract_z
Nb1 Nb 0.0000 0.0000 0.0000
P1 P 0.0000 0.0000 0.5000
Ir1 Ir 0.5000 0.5000 0.5000
S1 S 0.0000 0.5000 0.0000
```

Summary:
DOS(E_F)   6.6 states/eV/cell
Formation energy without anion corrections   0.90 eV per atom
Total moment   0.459 μB/atom
E above lowest polymorph   0.158 eV/atom

---

Entry 3:
The following is a PBE calculation of NbTePIr2 after structural relaxation, from Alexandria.

Structure (CIF):
```
data_NbTePIr2
_chemical_formula_sum 'Nb1 Te1 P1 Ir2'
_cell_length_a 4.8585
_cell_length_b 4.8585
_cell_length_c 4.7306
_cell_angle_alpha 90.00
_cell_angle_beta 90.00
_cell_angle_gamma 90.00
_symmetry_space_group_name_H-M 'P 4/m m m'
_symmetry_Int_Tables_number 123
_symmetry_space_group_name_Hall '-P 4 2'
loop_
_atom_site_label
_atom_site_type_symbol
_atom_site_fract_x
_atom_site_fract_y
_atom_site_fract_z
Nb1 Nb 0.0000 0.0000 0.0000
Te1 Te 0.5000 0.5000 0.5000
P1 P 0.0000 0.0000 0.5000
Ir1 Ir 0.0000 0.5000 0.0000
```

Summary:
DOS(E_F)   5.7 states/eV/cell
Formation energy without anion corrections   1.15 eV per atom
Total moment   0.000 μB/atom

---

Entry 4:
The following is a PBE calculation of NbZnP2Ir after structural relaxation, from Alexandria.

Structure (CIF):
```
data_NbZnP2Ir
_chemical_formula_sum 'Nb1 Zn1 P2 Ir1'
_cell_length_a 4.4587
_cell_length_b 4.4587
_cell_length_c 4.5215
_cell_angle_alpha 90.00
_cell_angle_beta 90.00
_cell_angle_gamma 90.00
_symmetry_space_group_name_H-M 'P 4/m m m'
_symmetry_Int_Tables_number 123
_symmetry_space_group_name_Hall '-P 4 2'
loop_
_atom_site_label
_atom_site_type_symbol
_atom_site_fract_x
_atom_site_fract_y
_atom_site_fract_z
Nb1 Nb 0.0000 0.0000 0.0000
Zn1 Zn 0.5000 0.5000 0.5000
P1 P 0.0000 0.5000 0.5000
Ir1 Ir 0.5000 0.5000 0.0000
```

Summary:
DOS(E_F)   5.2 states/eV/cell
Total moment   0.000 μB/atom
Calculated formation energy   1.129 eV per atom

---

- What is the total moment in the fourth record?
  0.000 μB/atom